## a
# Ag15Bi

A relaxed Ag15Bi crystal (PBE, OQMD).

a b c (Å): 4.097 4.115 43.229
angles (deg): 89.98 89.99 89.99
Fractional coordinates of all 32 atoms:
Ag (0.750, 0.000, 0.814)
Ag (0.250, 0.000, 0.380)
Ag (0.250, 0.000, 0.283)
Ag (0.250, 0.000, 0.668)
Ag (0.750, 0.000, 0.428)
Ag (0.750, 0.500, 0.862)
Ag (0.750, 0.500, 0.283)
Ag (0.750, 0.500, 0.186)
Ag (0.750, 0.000, 0.235)
Ag (0.250, 0.000, 0.765)
Ag (0.750, 0.000, 0.620)
Ag (0.250, 0.500, 0.138)
Ag (0.750, 0.000, 0.717)
Ag (0.250, 0.000, 0.186)
Ag (0.250, 0.500, 0.620)
Ag (0.250, 0.500, 0.332)
Ag (0.750, 0.500, 0.476)
Ag (0.250, 0.000, 0.476)
Ag (0.750, 0.500, 0.668)
Ag (0.250, 0.500, 0.717)
Ag (0.250, 0.500, 0.235)
Ag (0.750, 0.000, 0.332)
Ag (0.250, 0.500, 0.814)
Ag (0.750, 0.500, 0.380)
Ag (0.750, 0.500, 0.572)
Ag (0.250, 0.500, 0.524)
Ag (0.750, 0.000, 0.524)
Ag (0.250, 0.500, 0.428)
Ag (0.250, 0.000, 0.572)
Ag (0.750, 0.500, 0.765)
Bi (0.750, 0.000, 0.128)
Bi (0.250, 0.000, 0.872)

Its crystal system is monoclinic. The volume comes out at 728.9 Å³ per cell.

***

## b
# Ag15Bi

A relaxed Ag15Bi crystal (PBE, OQMD).

a b c (Å): 5.030 32.706 5.025
angles (deg): 90.00 108.84 90.00
Fractional coordinates of all 32 atoms:
Ag (0.500, 0.795, 0.250)
Ag (0.000, 0.703, 0.750)
Ag (0.000, 0.205, 0.250)
Ag (0.000, 0.251, 0.750)
Ag (0.500, 0.703, 0.250)
Ag (0.500, 0.162, 0.250)
Ag (0.000, 0.613, 0.750)
Ag (0.000, 0.387, 0.250)
Ag (0.500, 0.342, 0.250)
Ag (0.500, 0.388, 0.750)
Ag (0.000, 0.432, 0.750)
Ag (0.000, 0.795, 0.750)
Ag (0.500, 0.658, 0.750)
Ag (0.000, 0.342, 0.750)
Ag (0.500, 0.297, 0.750)
Ag (0.000, 0.749, 0.250)
Ag (0.500, 0.432, 0.250)
Ag (0.500, 0.747, 0.750)
Ag (0.500, 0.205, 0.750)
Ag (0.500, 0.568, 0.750)
Ag (0.000, 0.523, 0.750)
Ag (0.500, 0.253, 0.250)
Ag (0.000, 0.477, 0.250)
Ag (0.500, 0.838, 0.750)
Ag (0.000, 0.568, 0.250)
Ag (0.000, 0.297, 0.250)
Ag (0.000, 0.658, 0.250)
Ag (0.500, 0.522, 0.250)
Ag (0.500, 0.612, 0.250)
Ag (0.500, 0.478, 0.750)
Bi (0.000, 0.846, 0.250)
Bi (0.000, 0.154, 0.750)

Its crystal system is monoclinic. The volume comes out at 782.4 Å³ per cell.

***

Relative energies in kJ/mol of atoms: a 0.0; b 0.9

***

## a
# Ag15Bi

A relaxed Ag15Bi crystal (PBE, OQMD).

a b c (Å): 4.141 8.234 42.013
angles (deg): 89.95 89.99 89.92
Fractional coordinates of all 64 atoms:
Bi (0.000, 0.346, 0.120)
Bi (0.500, 0.346, 0.880)
Bi (0.500, 0.654, 0.120)
Bi (0.000, 0.654, 0.880)
Ag (0.000, 0.875, 0.426)
Ag (0.500, 0.378, 0.771)
Ag (0.000, 0.625, 0.278)
Ag (0.000, 0.625, 0.377)
Ag (0.000, 0.874, 0.229)
Ag (0.000, 0.376, 0.426)
Ag (0.500, 0.870, 0.180)
Ag (0.000, 0.625, 0.476)
Ag (0.000, 0.125, 0.278)
Ag (0.500, 0.376, 0.574)
Ag (0.500, 0.625, 0.623)
Ag (0.500, 0.625, 0.524)
Ag (0.000, 0.622, 0.771)
Ag (0.500, 0.875, 0.475)
Ag (0.000, 0.382, 0.823)
Ag (0.000, 0.375, 0.722)
Ag (0.500, 0.622, 0.229)
Ag (0.000, 0.375, 0.623)
Ag (0.500, 0.875, 0.574)
Ag (0.500, 0.891, 0.869)
Ag (0.500, 0.875, 0.672)
Ag (0.000, 0.125, 0.672)
Ag (0.000, 0.125, 0.377)
Ag (0.500, 0.375, 0.476)
Ag (0.000, 0.130, 0.180)
Ag (0.500, 0.618, 0.823)
Ag (0.500, 0.125, 0.722)
Ag (0.500, 0.381, 0.177)
Ag (0.500, 0.375, 0.377)
Ag (0.500, 0.375, 0.278)
Ag (0.500, 0.125, 0.525)
Ag (0.000, 0.870, 0.820)
Ag (0.000, 0.891, 0.131)
Ag (0.500, 0.875, 0.278)
Ag (0.000, 0.375, 0.328)
Ag (0.000, 0.875, 0.328)
Ag (0.000, 0.125, 0.475)
Ag (0.500, 0.125, 0.328)
Ag (0.500, 0.130, 0.820)
Ag (0.500, 0.375, 0.672)
Ag (0.000, 0.109, 0.869)
Ag (0.500, 0.875, 0.377)
Ag (0.500, 0.125, 0.623)
Ag (0.500, 0.624, 0.426)
Ag (0.000, 0.625, 0.672)
Ag (0.500, 0.625, 0.722)
Ag (0.000, 0.375, 0.524)
Ag (0.000, 0.875, 0.623)
Ag (0.000, 0.875, 0.525)
Ag (0.500, 0.126, 0.229)
Ag (0.000, 0.378, 0.229)
Ag (0.500, 0.874, 0.771)
Ag (0.500, 0.125, 0.426)
Ag (0.000, 0.619, 0.177)
Ag (0.000, 0.624, 0.574)
Ag (0.500, 0.109, 0.131)
Ag (0.000, 0.125, 0.574)
Ag (0.000, 0.126, 0.771)
Ag (0.000, 0.875, 0.722)
Ag (0.500, 0.625, 0.328)

Its crystal system is triclinic. The volume comes out at 1432.5 Å³ per cell.

***

## b
# Ag15Bi

A relaxed Ag15Bi crystal (PBE, OQMD).

a b c (Å): 5.815 2.959 44.318
angles (deg): 90.00 90.05 90.00
Fractional coordinates of all 32 atoms:
Ag (0.875, 0.250, 0.615)
Ag (0.876, 0.250, 0.707)
Ag (0.125, 0.750, 0.569)
Ag (0.125, 0.750, 0.477)
Ag (0.625, 0.750, 0.753)
Ag (0.626, 0.750, 0.293)
Ag (0.125, 0.750, 0.754)
Ag (0.375, 0.250, 0.431)
Ag (0.620, 0.750, 0.200)
Ag (0.374, 0.250, 0.707)
Ag (0.375, 0.250, 0.615)
Ag (0.124, 0.750, 0.293)
Ag (0.875, 0.250, 0.339)
Ag (0.625, 0.750, 0.385)
Ag (0.871, 0.250, 0.800)
Ag (0.380, 0.250, 0.800)
Ag (0.125, 0.750, 0.385)
Ag (0.375, 0.250, 0.247)
Ag (0.375, 0.250, 0.339)
Ag (0.375, 0.250, 0.523)
Ag (0.875, 0.250, 0.523)
Ag (0.625, 0.750, 0.569)
Ag (0.875, 0.250, 0.246)
Ag (0.874, 0.250, 0.155)
Ag (0.129, 0.750, 0.200)
Ag (0.125, 0.750, 0.661)
Ag (0.625, 0.750, 0.661)
Ag (0.625, 0.750, 0.477)
Ag (0.875, 0.250, 0.431)
Ag (0.126, 0.750, 0.845)
Bi (0.373, 0.250, 0.144)
Bi (0.627, 0.750, 0.856)

Its crystal system is monoclinic. The volume comes out at 762.5 Å³ per cell.

***

Relative energies in kJ/mol of atoms: a 0.0; b 1.2

***

## a
# Rb2AgBiCl6

A relaxed Rb2AgBiCl6 crystal (PBE, OQMD).

a b c (Å): 7.632 7.632 7.632
angles (deg): 119.95 119.95 60.05
Fractional coordinates of all 10 atoms:
Rb (0.750, 0.750, 0.250)
Rb (0.250, 0.250, 0.750)
Cl (0.750, 0.252, 0.749)
Cl (0.250, 0.748, 0.251)
Cl (0.748, 0.250, 0.251)
Cl (0.251, 0.251, 0.253)
Cl (0.252, 0.750, 0.749)
Cl (0.749, 0.749, 0.747)
Ag (0.500, 0.500, 0.500)
Bi (0.000, 0.000, 0.000)

Its crystal system is monoclinic. The volume comes out at 314.7 Å³ per cell.

***

## b
# Rb2AgBiCl6

A relaxed Rb2AgBiCl6 crystal (PBE, OQMD).

a b c (Å): 7.627 7.627 7.627
angles (deg): 121.51 121.51 87.41
Fractional coordinates of all 10 atoms:
Cl (0.752, 0.752, 0.000)
Cl (0.248, 0.248, 0.000)
Cl (0.188, 0.314, 0.502)
Cl (0.812, 0.686, 0.498)
Cl (0.686, 0.188, 0.875)
Cl (0.314, 0.812, 0.125)
Ag (0.500, 0.500, 0.000)
Rb (0.250, 0.750, 0.500)
Rb (0.750, 0.250, 0.500)
Bi (0.000, 0.000, 0.000)

Its crystal system is tetragonal. The volume comes out at 306.2 Å³ per cell.

***

## c
# Rb2AgBiCl6

A relaxed Rb2AgBiCl6 crystal (PBE, OQMD).

a b c (Å): 13.556 13.556 13.556
angles (deg): 32.20 32.20 32.20
Fractional coordinates of all 20 atoms:
Bi (0.000, 0.000, 0.000)
Bi (0.500, 0.500, 0.500)
Cl (0.631, 0.631, 0.116)
Cl (0.294, 0.791, 0.791)
Cl (0.706, 0.209, 0.209)
Cl (0.209, 0.209, 0.706)
Cl (0.209, 0.706, 0.209)
Cl (0.791, 0.791, 0.294)
Cl (0.369, 0.369, 0.884)
Cl (0.116, 0.631, 0.631)
Cl (0.884, 0.369, 0.369)
Cl (0.631, 0.116, 0.631)
Cl (0.791, 0.294, 0.791)
Cl (0.369, 0.884, 0.369)
Ag (0.584, 0.584, 0.584)
Ag (0.416, 0.416, 0.416)
Rb (0.124, 0.124, 0.124)
Rb (0.709, 0.709, 0.709)
Rb (0.291, 0.291, 0.291)
Rb (0.876, 0.876, 0.876)

Its crystal system is trigonal. The volume comes out at 628.6 Å³ per cell.

***

Relative energies in kJ/mol of atoms: a 1.2; b 0.0; c 2.2

***

## a
# HfCoAgBi

A relaxed HfCoAgBi crystal (PBE, OQMD).

a b c (Å): 4.743 4.743 4.743
angles (deg): 60.00 60.00 60.00
Fractional coordinates of all 4 atoms:
Hf (0.250, 0.250, 0.250)
Co (0.750, 0.750, 0.750)
Ag (0.500, 0.500, 0.500)
Bi (0.000, 0.000, 0.000)

Its crystal system is cubic. The volume comes out at 75.5 Å³ per cell.

***

## b
# HfCoAgBi

A relaxed HfCoAgBi crystal (PBE, OQMD).

a b c (Å): 4.745 4.745 4.745
angles (deg): 60.00 60.00 60.00
Fractional coordinates of all 4 atoms:
Co (0.750, 0.750, 0.750)
Bi (0.000, 0.000, 0.000)
Hf (0.500, 0.500, 0.500)
Ag (0.250, 0.250, 0.250)

Its crystal system is cubic. The volume comes out at 75.5 Å³ per cell.

***

Relative energies in kJ/mol of atoms: a 12.3; b 0.0

***

## a
# NbCoAgBi

A relaxed NbCoAgBi crystal (PBE, OQMD).

a b c (Å): 4.692 4.692 4.692
angles (deg): 60.00 60.00 60.00
Fractional coordinates of all 4 atoms:
Bi (0.000, 0.000, 0.000)
Co (0.750, 0.750, 0.750)
Ag (0.250, 0.250, 0.250)
Nb (0.500, 0.500, 0.500)

Its crystal system is cubic. The volume comes out at 73.0 Å³ per cell.

***

## b
# NbCoAgBi

A relaxed NbCoAgBi crystal (PBE, OQMD).

a b c (Å): 4.668 4.668 4.668
angles (deg): 60.00 60.00 60.00
Each line ends with the local moment (μB).
Fractional coordinates of all 4 atoms:
Co (0.750, 0.750, 0.750)  1.02
Ag (0.500, 0.500, 0.500)  0.01
Nb (0.250, 0.250, 0.250)  0.59
Bi (0.000, 0.000, 0.000)  0.01

Its crystal system is cubic. The volume comes out at 71.9 Å³ per cell.

***

Relative energies in kJ/mol of atoms: a 1.5; b 0.0

***

## a
# ScCoAgBi

A relaxed ScCoAgBi crystal (PBE, OQMD).

a b c (Å): 4.713 4.713 4.713
angles (deg): 60.00 60.00 60.00
Each line ends with the local moment (μB).
Fractional coordinates of all 4 atoms:
Ag (0.500, 0.500, 0.500)  -0.01
Co (0.750, 0.750, 0.750)  0.59
Sc (0.250, 0.250, 0.250)  -0.07
Bi (0.000, 0.000, 0.000)  0.00

Its crystal system is cubic. The volume comes out at 74.0 Å³ per cell.

***

## b
# ScCoAgBi

A relaxed ScCoAgBi crystal (PBE, OQMD).

a b c (Å): 4.744 4.744 4.744
angles (deg): 60.00 60.00 60.00
Fractional coordinates of all 4 atoms:
Co (0.750, 0.750, 0.750)
Bi (0.000, 0.000, 0.000)
Sc (0.500, 0.500, 0.500)
Ag (0.250, 0.250, 0.250)

Its crystal system is cubic. The volume comes out at 75.5 Å³ per cell.

***

Relative energies in kJ/mol of atoms: a 2.8; b 0.0